11
Lattice="5.627 -3.771 0.000 5.627 3.771 0.000 -2.723 0.000 8.979" Properties=species:S:1:pos:R:3 comment="PBE Tb5Pr4Nd2, optimized geometry" spacegroup=C2/m volume_a3_per_atom=34.6 relative_energy_mev_per_atom=12 total_energy_ev_per_atom=-4.595 density_g_cm3=7.2 e_form_ev_per_atom=0.114 pbc="T T T"
Tb 0.000 0.000 0.000
Tb 2.884 1.647 6.513
Tb 5.647 1.647 2.465
Tb 2.884 -1.647 6.513
Tb 5.647 -1.647 2.465
Pr 3.510 0.000 0.025
Pr 2.635 0.000 3.388
Pr 5.896 0.000 5.591
Pr 5.021 0.000 8.954
Nd -0.117 0.000 5.633
Nd 8.648 0.000 3.346